Computed, not measured: an optimized crystal structure of Tc2Ru at the PBE level of DFT.

Cell lengths 6.3661, 6.3661, 3.9424 Å; angles 90.00, 90.00, 120.00 degrees
Space group P-62m (No. 189)
Asymmetric unit:
Tc 0.0000 0.2529 0.0000 [3 per cell]
Tc 0.0000 0.5950 0.5000 [3 per cell]
Ru 0.0000 0.0000 0.5000 [1 per cell]
Ru 0.3333 0.6667 0.0000 [2 per cell]

Summary:
Calculated volume: 15.37 Å³ per atom
Formation enthalpy at 0 K: 0.451 eV per atom
VASP energy: -28.7 eV/f.u.
ΔE to the lowest computed polymorph: 0.497 eV/atom